The following is a GGA-PBEsol calculation of an optimized crystal structure of TlCuMo2, from Alexandria via LeMat-Bulk.

Summary:
* offset from the most stable computed form: 82.9 meV per atom
* space group: Pmm2
* ΔH_f (0 K): 55 kJ/mol of atoms

Cell: 2.7416 4.1039 5.7655 Å, 90.00 90.00 90.00°
Closest atoms and distances in Å follow each position.
Atoms (fractional coordinates):
Tl: 0.0000 0.0000 0.0000  2 Tl 2.74, 6 Mo 2.83-2.98, 4 Cu 2.87
Cu: 0.5000 0.5000 0.2557  5 Mo 2.62-2.82, 2 Cu 2.74, 4 Tl 2.87
Mo: 0.0000 0.0000 0.4906  6 Mo 2.74-2.77, 4 Cu 2.82, 2 Tl 2.83-2.94
Mo: 0.5000 0.5000 0.7095  1 Cu 2.62, 6 Mo 2.74-2.77